(1)
A relaxed structure of MnBPS2. Source: Alexandria, functional GGA-PBE.

Results
- energy (Ry/atom) = -0.344
- relative energy among the computed polymorphs (eV per atom) = 0.187
- space group = No. 123
- calculated density (g/cm³) = 3.14
- total magnetization (μB/f.u.) = 0.00
- formation energy (no corrections) (meV/atom) = 1216.2

abc: 4.4324 4.4324 4.3364
angles: 90.00 90.00 90.00
Last column: nearest neighbours and their distance in Å.
Element x y z (fractional)
P 0.0000 0.0000 0.5000  2 Mn 2.17
S 0.0000 0.5000 0.0000  2 Mn 2.22
S 0.5000 0.0000 0.0000  2 Mn 2.22
Mn 0.0000 0.0000 0.0000  2 P 2.17, 4 S 2.22
B 0.5000 0.5000 0.5000  8 S 3.10, 4 P 3.13

(2)
A relaxed structure of CoMoRh2. Source: Alexandria, functional GGA-PBE.

Results
- energy of formation (eV/atom) = -0.10
- energy (Ry/atom) = -0.607
- relative energy among the computed polymorphs (eV per atom) = 0.015
- space group = No. 123
- calculated density (g/cm³) = 11.04
- total magnetization (μB/f.u.) = 0.21

abc: 3.7988 3.7989 3.7610
angles: 90.00 90.00 90.00
Last column: nearest neighbours and their distance in Å.
Element x y z (fractional)
Co 0.5000 0.0000 0.5000  8 Rh 2.67, 4 Mo 2.69
Mo 0.0000 0.5000 0.5000  8 Rh 2.67, 4 Co 2.69
Rh 0.0000 0.0000 0.0000  4 Co 2.67, 4 Mo 2.67, 4 Rh 2.69
Rh 0.5000 0.5000 0.0000  4 Mo 2.67, 4 Co 2.67, 4 Rh 2.69

(3)
A relaxed structure of LaRu2Pb. Source: Alexandria, functional GGA-PBE.

Results
- energy of formation (eV/atom) = 0.16
- energy (Ry/atom) = -0.487
- space group = No. 99
- calculated density (g/cm³) = 10.52
- total magnetization (μB/f.u.) = 0.98

abc: 3.3294 3.3294 7.8100
angles: 90.00 90.00 90.00
Last column: nearest neighbours and their distance in Å.
Element x y z (fractional)
La 0.0000 0.0000 0.4530  5 Ru 3.08-3.20, 4 La 3.33
Pb 0.5000 0.5000 0.8061  5 Ru 2.99-3.06, 4 Pb 3.33
Ru 0.0000 0.0000 0.0429  4 Ru 2.65
Ru 0.5000 0.5000 0.1980  4 Ru 2.65

(4)
A relaxed structure of Er2Ga5Pd. Source: Alexandria, functional GGA-PBE.

Results
- energy of formation (eV/atom) = -0.58
- energy (Ry/atom) = -0.313
- space group = No. 107
- calculated density (g/cm³) = 8.72
- total magnetization (μB/f.u.) = 0.00

abc: 5.9683 5.9683 5.9683
angles: 89.96 120.02 120.02
Last column: nearest neighbours and their distance in Å.
Element x y z (fractional)
Er 0.5000 0.2779 0.7779  2 Pd 2.98, 10 Ga 2.98
Er 0.5000 0.7779 0.2779  2 Pd 2.98, 10 Ga 2.98
Ga 0.4983 0.7769 0.7769  6 Ga 2.97-2.99, 2 Pd 2.98-2.99, 4 Er 2.98
Ga 0.0000 0.7769 0.2786  6 Ga 2.97-2.99, 2 Pd 2.98-2.99, 4 Er 2.98
Ga 0.0000 0.2786 0.7769  6 Ga 2.97-2.99, 2 Pd 2.98-2.99, 4 Er 2.98
Ga 0.5017 0.2786 0.2786  6 Ga 2.97-2.99, 2 Pd 2.98-2.99, 4 Er 2.98
Ga 0.0000 0.2758 0.2758  8 Ga 2.98-2.99, 4 Er 2.98
Pd 0.0000 0.7794 0.7794  8 Ga 2.98-2.99, 4 Er 2.98

(5)
A relaxed structure of PIrBr2. Source: Alexandria, functional GGA-PBE.

Results
- energy (Ry/atom) = -0.254
- relative energy among the computed polymorphs (eV per atom) = 1.377
- space group = No. 65
- calculated density (g/cm³) = 7.69
- total magnetization (μB/f.u.) = 0.00
- formation energy (no corrections) (meV/atom) = 942.4

abc: 3.3161 3.3161 9.0814
angles: 90.00 90.00 124.05
Last column: nearest neighbours and their distance in Å.
Element x y z (fractional)
Br 0.0000 0.0000 0.0304  2 Ir 2.53
Br 0.0000 0.0000 0.4696  2 Ir 2.53
Ir 0.5000 0.5000 0.2500  4 Br 2.53
P 0.5000 0.5000 0.7500  4 Br 2.98, 6 P 3.11-3.32

(6)
A relaxed structure of LaTlPb2. Source: Alexandria, functional GGA-PBE.

Results
- energy of formation (eV/atom) = -0.43
- energy (Ry/atom) = -0.302
- space group = No. 123
- calculated density (g/cm³) = 10.47
- total magnetization (μB/f.u.) = 0.00

abc: 5.0103 4.8963 4.8963
angles: 90.00 90.00 90.00
Last column: nearest neighbours and their distance in Å.
Element x y z (fractional)
Pb 0.0000 0.0000 0.0000  4 Pb 3.46, 4 Tl 3.50, 4 La 3.50
Pb 0.0000 0.5000 0.5000  4 Pb 3.46, 4 La 3.50, 4 Tl 3.50
Tl 0.5000 0.5000 0.0000  4 La 3.46, 8 Pb 3.50
La 0.5000 0.0000 0.5000  4 Tl 3.46, 8 Pb 3.50

(7)
A relaxed structure of HfCoSeN2. Source: Alexandria, functional GGA-PBE.

Results
- energy (Ry/atom) = -0.459
- relative energy among the computed polymorphs (eV per atom) = 0.646
- space group = No. 123
- calculated density (g/cm³) = 8.68
- total magnetization (μB/f.u.) = 0.00
- formation energy (no corrections) (meV/atom) = 1190.9

abc: 3.9714 4.1782 3.9714
angles: 90.00 90.00 90.00
Last column: nearest neighbours and their distance in Å.
Element x y z (fractional)
Co 0.0000 0.5000 0.0000  2 Se 2.09
Hf 0.5000 0.5000 0.5000  4 Co 2.81, 8 N 2.88
Se 0.0000 0.0000 0.0000  4 N 1.99, 2 Co 2.09
N 0.0000 0.0000 0.5000  2 Se 1.99
N 0.5000 0.0000 0.0000  2 Se 1.99

(8)
A relaxed structure of Ac2Mg3Cd2. Source: Alexandria, functional GGA-PBE.

Results
- energy of formation (eV/atom) = -0.20
- energy (Ry/atom) = -0.170
- space group = No. 12
- calculated density (g/cm³) = 6.05
- total magnetization (μB/f.u.) = 0.00

abc: 4.9521 6.3238 7.8514
angles: 112.21 90.00 113.05
Last column: nearest neighbours and their distance in Å.
Element x y z (fractional)
Ac 0.8546 0.7093 0.2256  4 Cd 3.41-3.51, 6 Mg 3.58-3.76
Ac 0.1454 0.2907 0.7744  4 Cd 3.41-3.51, 6 Mg 3.58-3.76
Mg 0.5000 0.0000 0.0000  2 Mg 3.07, 4 Cd 3.11
Mg 0.6138 0.2276 0.4283  3 Cd 3.00-3.06, 2 Mg 3.07-3.28
Mg 0.3862 0.7724 0.5717  3 Cd 3.00-3.06, 2 Mg 3.07-3.28
Cd 0.8533 0.7067 0.7774  5 Mg 3.00-3.11
Cd 0.1467 0.2933 0.2226  5 Mg 3.00-3.11

(9)
A relaxed structure of CsLiTe2. Source: Alexandria, functional GGA-PBE.

Results
- energy (Ry/atom) = -0.221
- relative energy among the computed polymorphs (eV per atom) = 0.087
- space group = No. 9
- calculated density (g/cm³) = 3.93
- total magnetization (μB/f.u.) = 0.00
- formation energy (no corrections) (meV/atom) = -738.1

abc: 18.4083 7.4449 7.4449
angles: 86.14 130.18 49.82
Last column: nearest neighbours and their distance in Å.
Element x y z (fractional)
Cs 0.2505 0.6003 0.6328  7 Te 3.75-4.04, 1 Li 4.01
Cs 0.7505 0.8672 0.8997  7 Te 3.75-4.04, 1 Li 4.01
Te 0.3629 0.9157 0.7938  1 Li 2.75, 1 Te 2.85
Te 0.8629 0.7062 0.5843  1 Li 2.75, 1 Te 2.85
Te 0.0983 0.0002 0.8730  2 Li 2.77-2.94, 1 Te 2.85
Te 0.5983 0.6270 0.4998  2 Li 2.77-2.94, 1 Te 2.85
Li 0.3056 0.9990 0.2647  3 Te 2.75-2.94
Li 0.8056 0.2353 0.5010  3 Te 2.75-2.94

(10)
A relaxed structure of Ca2NdF. Source: Alexandria, functional GGA-PBE.

Results
- energy (Ry/atom) = -0.273
- space group = No. 166
- calculated density (g/cm³) = 3.56
- total magnetization (μB/f.u.) = 0.64
- formation energy (no corrections) (meV/atom) = -1047.0

abc: 3.6040 3.6040 10.3091
angles: 79.93 79.93 60.00
Last column: nearest neighbours and their distance in Å.
Element x y z (fractional)
Ca 0.1144 0.1144 0.6569  3 F 2.62
Ca 0.8856 0.8856 0.3431  3 F 2.62
Nd 0.0000 0.0000 0.0000  2 Ca 3.46, 6 Nd 3.60
F 0.5000 0.5000 0.5000  6 Ca 2.62

(11)
A relaxed structure of HoThPd4. Source: Alexandria, functional GGA-PBE.

Results
- energy of formation (eV/atom) = -0.76
- energy (Ry/atom) = -0.457
- relative energy among the computed polymorphs (eV per atom) = 0.148
- space group = No. 216
- calculated density (g/cm³) = 11.66
- total magnetization (μB/f.u.) = 0.00

abc: 5.4924 5.4924 5.4924
angles: 60.00 60.00 60.00
Last column: nearest neighbours and their distance in Å.
Element x y z (fractional)
Pd 0.6246 0.6246 0.1261  6 Pd 2.74-2.75
Pd 0.6246 0.1261 0.6246  6 Pd 2.74-2.75
Pd 0.6246 0.6246 0.6246  6 Pd 2.74-2.75
Pd 0.1261 0.6246 0.6246  6 Pd 2.74-2.75
Ho 0.2500 0.2500 0.2500  12 Pd 3.22, 4 Th 3.36
Th 0.0000 0.0000 0.0000  12 Pd 3.22, 4 Ho 3.36

(12)
A relaxed structure of Li8Pd. Source: Alexandria, functional GGA-PBE.

Results
- energy of formation (eV/atom) = -0.13
- energy (Ry/atom) = -0.177
- space group = No. 139
- calculated density (g/cm³) = 1.72
- total magnetization (μB/f.u.) = 0.00

abc: 4.0980 6.5066 6.5066
angles: 84.31 71.64 71.64
Last column: nearest neighbours and their distance in Å.
Element x y z (fractional)
Li 0.3462 0.0000 0.3077  6 Li 2.69-2.84, 2 Pd 2.79
Li 0.6538 0.0000 0.6923  6 Li 2.69-2.84, 2 Pd 2.79
Li 0.6538 0.6923 0.0000  6 Li 2.69-2.84, 2 Pd 2.79
Li 0.0000 0.6816 0.3184  1 Pd 2.78, 10 Li 2.84-3.04
Li 0.3184 0.6816 0.6816  1 Pd 2.78, 10 Li 2.84-3.04
Li 0.6816 0.3184 0.3184  1 Pd 2.78, 10 Li 2.84-3.04
Li 0.0000 0.3184 0.6816  1 Pd 2.78, 10 Li 2.84-3.04
Li 0.3462 0.3077 0.0000  6 Li 2.69-2.84, 2 Pd 2.79
Pd 0.0000 0.0000 0.0000  12 Li 2.78-2.79

Q: Which formula does entry 11 have?
A: HoThPd4